Record 1
# Ba2CuAs4Pd3 | Alexandria via LeMat-Bulk | PBE-GGA | relaxed
# formation energy from the elements	-0.7026	eV/atom
# V	214.29	Å³ per cell
# calculated total energy	-0.181	hartree per atom
data_Ba2CuAs4Pd3
_space_group_name_H-M_alt 'P 1'
_space_group_IT_number 1
_space_group_name_Hall 'P 1'
_cell_length_a 4.568
_cell_length_b 4.568
_cell_length_c 10.270
_cell_angle_alpha 90.00
_cell_angle_beta 90.00
_cell_angle_gamma 90.00
loop_
_atom_site_label
_atom_site_fract_x
_atom_site_fract_y
_atom_site_fract_z
Pd1 0.000 0.000 0.500
As1 0.500 0.500 0.000
Pd2 0.500 0.000 0.882
As2 0.000 0.000 0.000
As3 0.000 0.500 0.376
Cu1 0.500 0.500 0.500
Ba1 0.000 0.500 0.748
Pd3 0.000 0.500 0.118
As4 0.500 0.000 0.624
Ba2 0.500 0.000 0.252


Record 2
# Pr2ErZn4 | Alexandria via LeMat-Bulk | PBE-GGA | relaxed
# formation energy from the elements	-0.1486	eV/atom
# V	175.78	Å³ per cell
# calculated total energy	-0.106	hartree per atom
data_Pr2ErZn4
_space_group_name_H-M_alt 'P 1'
_space_group_IT_number 1
_space_group_name_Hall 'P 1'
_cell_length_a 5.228
_cell_length_b 5.228
_cell_length_c 7.419
_cell_angle_alpha 110.63
_cell_angle_beta 110.63
_cell_angle_gamma 90.00
loop_
_atom_site_label
_atom_site_fract_x
_atom_site_fract_y
_atom_site_fract_z
Zn1 0.897 0.397 0.794
Pr1 0.722 0.722 0.443
Er1 0.000 0.000 0.000
Zn2 0.603 0.103 0.206
Zn3 0.103 0.603 0.206
Pr2 0.278 0.278 0.557
Zn4 0.397 0.897 0.794


Record 3
# AcHoGa2Pt5 | Alexandria via LeMat-Bulk | PBE-GGA | relaxed
# formation energy from the elements	-0.8358	eV/atom
# V	175.32	Å³ per cell
# calculated total energy	-0.214	hartree per atom
data_AcHoGa2Pt5
_space_group_name_H-M_alt 'P 1'
_space_group_IT_number 1
_space_group_name_Hall 'P 1'
_cell_length_a 4.346
_cell_length_b 4.346
_cell_length_c 9.282
_cell_angle_alpha 90.00
_cell_angle_beta 90.00
_cell_angle_gamma 90.00
loop_
_atom_site_label
_atom_site_fract_x
_atom_site_fract_y
_atom_site_fract_z
Ga1 0.500 0.500 0.131
Pt1 0.500 0.000 0.741
Ga2 0.500 0.500 0.869
Pt2 0.000 0.500 0.741
Pt3 0.500 0.500 0.500
Pt4 0.500 0.000 0.259
Ac1 0.000 0.000 0.500
Pt5 0.000 0.500 0.259
Ho1 0.000 0.000 0.000


Record 4
# Pm2Dy2Sn5 | Alexandria via LeMat-Bulk | PBE-GGA | relaxed
# formation energy from the elements	-0.5646	eV/atom
# V	538.59	Å³ per cell
# calculated total energy	-0.179	hartree per atom
data_Pm2Dy2Sn5
_space_group_name_H-M_alt 'P 1'
_space_group_IT_number 1
_space_group_name_Hall 'P 1'
_cell_length_a 8.159
_cell_length_b 8.107
_cell_length_c 9.096
_cell_angle_alpha 116.46
_cell_angle_beta 90.00
_cell_angle_gamma 90.00
loop_
_atom_site_label
_atom_site_fract_x
_atom_site_fract_y
_atom_site_fract_z
Sn1 0.500 0.500 0.000
Dy1 0.500 0.688 0.375
Sn2 0.872 0.770 0.280
Sn3 0.000 0.000 0.000
Pm1 0.168 0.667 0.000
Sn4 0.628 0.270 0.280
Dy2 0.000 0.812 0.625
Sn5 0.128 0.510 0.280
Pm2 0.832 0.333 0.000
Sn6 0.128 0.230 0.720
Sn7 0.372 0.010 0.280
Dy3 0.000 0.188 0.375
Dy4 0.500 0.312 0.625
Sn8 0.372 0.730 0.720
Sn9 0.872 0.490 0.720
Pm3 0.332 0.167 0.000
Pm4 0.668 0.833 0.000
Sn10 0.628 0.990 0.720


Record 5
# K3Y2CrSe6 | Alexandria via LeMat-Bulk | PBE-GGA | relaxed
# V	333.36	Å³ per cell
# formation energy (no corrections)	-1.42	eV per atom
# calculated total energy	-0.195	hartree per atom
data_K3Y2CrSe6
_space_group_name_H-M_alt 'P 1'
_space_group_IT_number 1
_space_group_name_Hall 'P 1'
_cell_length_a 7.091
_cell_length_b 7.091
_cell_length_c 8.020
_cell_angle_alpha 98.53
_cell_angle_beta 98.53
_cell_angle_gamma 120.04
loop_
_atom_site_label
_atom_site_fract_x
_atom_site_fract_y
_atom_site_fract_z
Se1 0.242 0.242 0.802
Y1 0.666 0.334 0.000
Se2 0.758 0.758 0.198
Se3 0.934 0.626 0.803
K1 0.829 0.171 0.500
K2 0.500 0.500 0.500
K3 0.171 0.829 0.500
Y2 0.334 0.666 0.000
Se4 0.374 0.066 0.197
Se5 0.066 0.374 0.197
Se6 0.626 0.934 0.803
Cr1 0.000 0.000 0.000


Record 6
# B2H2Pt | Alexandria via LeMat-Bulk | PBE-GGA | relaxed
# E above lowest polymorph	0.068	eV per atom
# V	34.37	Å³ per cell
# calculated total energy	-0.157	hartree per atom
data_B2H2Pt
_space_group_name_H-M_alt 'P 1'
_space_group_IT_number 1
_space_group_name_Hall 'P 1'
_cell_length_a 3.058
_cell_length_b 3.058
_cell_length_c 4.265
_cell_angle_alpha 69.00
_cell_angle_beta 69.00
_cell_angle_gamma 90.00
loop_
_atom_site_label
_atom_site_fract_x
_atom_site_fract_y
_atom_site_fract_z
Pt1 0.000 0.000 0.000
H1 0.663 0.663 0.674
B1 0.750 0.250 0.500
B2 0.250 0.750 0.500
H2 0.337 0.337 0.326


Record 7
# U4PaC5 | Alexandria via LeMat-Bulk | PBE-GGA | relaxed
# formation energy from the elements	-0.1956	eV/atom
# V	152.74	Å³ per cell
# calculated total energy	-0.378	hartree per atom
data_U4PaC5
_space_group_name_H-M_alt 'P 1'
_space_group_IT_number 1
_space_group_name_Hall 'P 1'
_cell_length_a 3.512
_cell_length_b 4.969
_cell_length_c 9.266
_cell_angle_alpha 105.55
_cell_angle_beta 100.92
_cell_angle_gamma 90.00
loop_
_atom_site_label
_atom_site_fract_x
_atom_site_fract_y
_atom_site_fract_z
C1 0.000 0.500 0.000
C2 0.199 0.699 0.398
U1 0.600 0.600 0.201
U2 0.799 0.799 0.598
U3 0.201 0.201 0.402
U4 0.400 0.400 0.799
C3 0.801 0.301 0.602
C4 0.605 0.105 0.210
Pa1 0.000 0.000 0.000
C5 0.395 0.895 0.790


Record 8
# RbCO2 | Alexandria via LeMat-Bulk | PBE-GGA | relaxed
# V	263.56	Å³ per cell
# formation energy (no corrections)	-0.71	eV per atom
# calculated total energy	-0.211	hartree per atom
data_RbCO2
_space_group_name_H-M_alt 'P 1'
_space_group_IT_number 1
_space_group_name_Hall 'P 1'
_cell_length_a 3.239
_cell_length_b 6.332
_cell_length_c 12.852
_cell_angle_alpha 90.00
_cell_angle_beta 90.00
_cell_angle_gamma 90.00
loop_
_atom_site_label
_atom_site_fract_x
_atom_site_fract_y
_atom_site_fract_z
Rb1 0.250 0.710 0.882
O1 0.750 0.246 0.425
Rb2 0.250 0.210 0.618
C1 0.250 0.804 0.118
Rb3 0.750 0.290 0.118
O2 0.250 0.254 0.925
O3 0.250 0.754 0.575
C2 0.750 0.196 0.882
O4 0.750 0.087 0.804
O5 0.750 0.587 0.696
O6 0.750 0.746 0.075
O7 0.250 0.413 0.304
O8 0.250 0.913 0.196
C3 0.750 0.696 0.618
Rb4 0.750 0.790 0.382
C4 0.250 0.304 0.382


Record 9
# SrCa8Mg2 | Alexandria via LeMat-Bulk | PBE-GGA | relaxed
# E above lowest polymorph	0.000	eV per atom
# formation energy from the elements	0.0508	eV/atom
# V	446.43	Å³ per cell
# calculated total energy	-0.068	hartree per atom
data_SrCa8Mg2
_space_group_name_H-M_alt 'P 1'
_space_group_IT_number 1
_space_group_name_Hall 'P 1'
_cell_length_a 6.681
_cell_length_b 7.229
_cell_length_c 17.008
_cell_angle_alpha 102.27
_cell_angle_beta 144.30
_cell_angle_gamma 90.00
loop_
_atom_site_label
_atom_site_fract_x
_atom_site_fract_y
_atom_site_fract_z
Ca1 0.980 0.213 0.427
Ca2 0.543 0.406 0.811
Ca3 0.457 0.594 0.189
Mg1 0.657 0.257 0.515
Mg2 0.343 0.743 0.485
Ca4 0.979 0.352 0.204
Ca5 0.979 0.852 0.204
Ca6 0.021 0.148 0.796
Ca7 0.020 0.787 0.573
Sr1 0.000 0.000 0.000
Ca8 0.021 0.648 0.796


Record 10
# SrSbCl2 | Alexandria via LeMat-Bulk | PBE-GGA | relaxed
# E above lowest polymorph	0.052	eV per atom
# V	116.66	Å³ per cell
# formation energy (no corrections)	-1.28	eV per atom
# calculated total energy	-0.134	hartree per atom
data_SrSbCl2
_space_group_name_H-M_alt 'P 1'
_space_group_IT_number 1
_space_group_name_Hall 'P 1'
_cell_length_a 5.909
_cell_length_b 3.929
_cell_length_c 5.396
_cell_angle_alpha 68.63
_cell_angle_beta 90.00
_cell_angle_gamma 90.00
loop_
_atom_site_label
_atom_site_fract_x
_atom_site_fract_y
_atom_site_fract_z
Sr1 0.500 0.943 0.740
Sb1 0.000 0.536 0.554
Cl1 0.000 0.786 0.052
Cl2 0.500 0.235 0.154


Record 11
# RbPmTcO5 | Alexandria via LeMat-Bulk | PBE-GGA | relaxed
# V	313.97	Å³ per cell
# formation energy (no corrections)	-2.04	eV per atom
# calculated total energy	-0.263	hartree per atom
data_RbPmTcO5
_space_group_name_H-M_alt 'P 1'
_space_group_IT_number 1
_space_group_name_Hall 'P 1'
_cell_length_a 6.557
_cell_length_b 6.557
_cell_length_c 8.344
_cell_angle_alpha 103.77
_cell_angle_beta 103.77
_cell_angle_gamma 107.20
loop_
_atom_site_label
_atom_site_fract_x
_atom_site_fract_y
_atom_site_fract_z
Rb1 0.675 0.325 0.750
Tc1 0.318 0.682 0.750
Pm1 0.000 0.000 0.500
O1 0.071 0.929 0.250
O2 0.133 0.704 0.876
Pm2 0.000 0.000 0.000
Tc2 0.682 0.318 0.250
O3 0.867 0.296 0.124
O4 0.296 0.867 0.624
O5 0.704 0.133 0.376
O6 0.408 0.250 0.098
O7 0.592 0.750 0.902
Rb2 0.325 0.675 0.250
O8 0.929 0.071 0.750
O9 0.750 0.592 0.402
O10 0.250 0.408 0.598


Record 12
# SrThGaAu | Alexandria via LeMat-Bulk | PBE-GGA | relaxed
# formation energy from the elements	-0.4284	eV/atom
# V	107.55	Å³ per cell
# calculated total energy	-0.157	hartree per atom
data_SrThGaAu
_space_group_name_H-M_alt 'P 1'
_space_group_IT_number 1
_space_group_name_Hall 'P 1'
_cell_length_a 5.338
_cell_length_b 5.338
_cell_length_c 5.338
_cell_angle_alpha 60.00
_cell_angle_beta 60.00
_cell_angle_gamma 60.00
loop_
_atom_site_label
_atom_site_fract_x
_atom_site_fract_y
_atom_site_fract_z
Sr1 0.500 0.500 0.500
Ga1 0.750 0.750 0.750
Th1 0.000 0.000 0.000
Au1 0.250 0.250 0.250